NaSr2Ti | GGA-PBEsol | optimized geometry

Calculated formation energy in eV/atom: 0.59

Cell lengths 8.3611, 8.3611, 8.3611 Å; angles 90.00, 90.00, 90.00 degrees
With the nearest neighbours (Å) after each atom.
Space group Fm-3m (No. 225)
Inequivalent atoms, fractional coordinates:
Na 0.0000 0.0000 0.0000 x4  8 Sr 3.62
Sr 0.2500 0.2500 0.2500 x8  4 Ti 3.62, 4 Na 3.62
Ti 0.0000 0.0000 0.5000 x4  8 Sr 3.62